No. 1
{
  "formula": "HfTaN2F",
  "functional": "PBE",
  "state": "relaxed",
  "volume_a3_per_atom": 13.85,
  "de_polymorph_mev_per_atom": 286,
  "dft_energy_ry_per_atom": -0.6200,
  "density_g_cm3": 9.749,
  "e_form_raw_ev_per_atom": -0.369,
  "total_magnetization_mub_per_fu": 1.967,
  "crystal_system": "tetragonal",
  "cell": [[-3.786, 0.622, -1.794], [1.614, -1.056, -3.771], [-0.912, -3.694, 0.644]],
  "species": ["Hf", "N", "N", "F", "Ta"],
  "frac_coords": [[0.000, 0.000, 0.000], [0.500, 0.000, 0.000], [0.000, 0.500, 0.000], [0.000, 0.000, 0.500], [0.500, 0.500, 0.500]]
}

---

No. 2
{
  "formula": "HfTaNF2",
  "functional": "PBE",
  "state": "relaxed",
  "volume_a3_per_atom": 14.22,
  "de_polymorph_mev_per_atom": 114,
  "dft_energy_ry_per_atom": -0.5511,
  "density_g_cm3": 9.607,
  "e_form_raw_ev_per_atom": -0.723,
  "total_magnetization_mub_per_fu": 2.248,
  "crystal_system": "tetragonal",
  "cell": [[-3.091, -0.098, -2.767], [2.047, -2.874, -2.185], [-1.855, -2.977, 2.177]],
  "species": ["F", "F", "N", "Hf", "Ta"],
  "frac_coords": [[0.500, 0.000, 0.000], [0.000, 0.500, 0.000], [0.000, 0.000, 0.500], [0.500, 0.500, 0.500], [0.000, 0.000, 0.000]]
}

---

No. 3
{
  "formula": "HfTaNF2",
  "functional": "PBE",
  "state": "relaxed",
  "volume_a3_per_atom": 14.67,
  "de_polymorph_mev_per_atom": 0,
  "dft_energy_ry_per_atom": -0.5594,
  "density_g_cm3": 9.317,
  "e_form_raw_ev_per_atom": -0.837,
  "total_magnetization_mub_per_fu": 3.710,
  "crystal_system": "tetragonal",
  "cell": [[4.082, 0.000, 0.000], [0.000, 4.082, 0.000], [0.000, 0.000, 4.401]],
  "species": ["F", "F", "Ta", "N", "Hf"],
  "frac_coords": [[0.500, 0.000, 0.000], [0.000, 0.500, 0.000], [0.500, 0.500, 0.500], [0.000, 0.000, 0.500], [0.000, 0.000, 0.000]]
}

---

No. 4
{
  "formula": "HfTeN2F",
  "functional": "PBE",
  "state": "relaxed",
  "volume_a3_per_atom": 19.76,
  "de_polymorph_mev_per_atom": 772,
  "dft_energy_ry_per_atom": -0.4498,
  "density_g_cm3": 5.936,
  "e_form_raw_ev_per_atom": 0.204,
  "total_magnetization_mub_per_fu": 0.036,
  "crystal_system": "tetragonal",
  "cell": [[-3.844, 1.199, -0.012], [-1.197, -3.837, 0.243], [0.092, 0.356, 6.081]],
  "species": ["N", "N", "Hf", "F", "Te"],
  "frac_coords": [[0.500, 0.000, 0.000], [0.000, 0.500, 0.000], [0.000, 0.000, 0.000], [0.500, 0.500, 0.500], [0.000, 0.000, 0.500]]
}

---

No. 5
{
  "formula": "HfTeN2F",
  "functional": "PBE",
  "state": "relaxed",
  "volume_a3_per_atom": 14.99,
  "de_polymorph_mev_per_atom": 0,
  "dft_energy_ry_per_atom": -0.5066,
  "density_g_cm3": 7.822,
  "e_form_raw_ev_per_atom": -0.569,
  "total_magnetization_mub_per_fu": 0.000,
  "crystal_system": "tetragonal",
  "cell": [[4.320, 0.000, 0.000], [0.000, 4.320, 0.000], [0.000, 0.000, 4.017]],
  "species": ["Te", "F", "N", "N", "Hf"],
  "frac_coords": [[0.500, 0.500, 0.500], [0.000, 0.000, 0.500], [0.500, 0.000, 0.000], [0.000, 0.500, 0.000], [0.000, 0.000, 0.000]]
}

---

No. 6
{
  "formula": "HfTeN2F",
  "functional": "PBE",
  "state": "relaxed",
  "volume_a3_per_atom": 14.26,
  "de_polymorph_mev_per_atom": 1747,
  "dft_energy_ry_per_atom": -0.3782,
  "density_g_cm3": 8.226,
  "e_form_raw_ev_per_atom": 1.178,
  "total_magnetization_mub_per_fu": 0.384,
  "crystal_system": "tetragonal",
  "cell": [[4.228, 0.000, 0.000], [0.000, 4.228, 0.000], [0.000, 0.000, 3.987]],
  "species": ["Hf", "Te", "F", "N", "N"],
  "frac_coords": [[0.500, 0.500, 0.500], [0.000, 0.000, 0.500], [0.000, 0.000, 0.000], [0.000, 0.500, 0.000], [0.500, 0.000, 0.000]]
}